Density functional theory data (GGA-PBE) for a relaxed structure of DyPaMn2.

Computed properties:
Mass density, g/cm³: 10.49
Symmetry: No. 166
Electronic total energy, eV/cell: -96.63
Formation energy, meV per atom: 57

```
data_DyPaMn2
_space_group_name_H-M_alt 'P 1'
_space_group_IT_number 1
_cell_length_a 4.321
_cell_length_b 4.321
_cell_length_c 14.783
_cell_angle_alpha 90.00
_cell_angle_beta 90.00
_cell_angle_gamma 120.00
loop_
_space_group_symop_operation_xyz
'x,y,z'
loop_
_atom_site_label
_atom_site_fract_x
_atom_site_fract_y
_atom_site_fract_z
Dy1 0.000 0.000 0.000
Dy2 0.333 0.667 0.667
Dy3 0.667 0.333 0.333
Pa1 0.000 0.000 0.500
Pa2 0.333 0.667 0.167
Pa3 0.667 0.333 0.833
Mn1 0.000 0.000 0.205
Mn2 0.000 0.000 0.795
Mn3 0.333 0.667 0.461
Mn4 0.333 0.667 0.872
Mn5 0.667 0.333 0.128
Mn6 0.667 0.333 0.539
```

***

Density functional theory data (GGA-PBE) for a relaxed structure of Dy2PaMn.

Computed properties:
Mass density, g/cm³: 10.18
Symmetry: No. 166
Electronic total energy, eV/cell: -78.29
Formation energy, meV per atom: 443

```
data_Dy2PaMn
_space_group_name_H-M_alt 'P 1'
_space_group_IT_number 1
_cell_length_a 3.213
_cell_length_b 3.213
_cell_length_c 33.427
_cell_angle_alpha 90.00
_cell_angle_beta 90.00
_cell_angle_gamma 120.00
loop_
_space_group_symop_operation_xyz
'x,y,z'
loop_
_atom_site_label
_atom_site_fract_x
_atom_site_fract_y
_atom_site_fract_z
Dy1 0.000 0.000 0.096
Dy2 0.000 0.000 0.904
Dy3 0.333 0.667 0.571
Dy4 0.333 0.667 0.763
Dy5 0.667 0.333 0.237
Dy6 0.667 0.333 0.429
Pa1 0.000 0.000 0.000
Pa2 0.333 0.667 0.667
Pa3 0.667 0.333 0.333
Mn1 0.000 0.000 0.500
Mn2 0.333 0.667 0.167
Mn3 0.667 0.333 0.833
```